Crystalline NdBeV2O7 at its relaxed geometry. Source: Alexandria via LeMat-Bulk, functional PBE with a Hubbard U.

E ... -7.50 eV per atom
Density ... 5.257 g/cm3
Magnetic moment ... 0.091 μB/atom

Cell: 3.7962 3.7962 8.4826 Å, 102.93 102.93 90.00°
Site moments in Bohr magnetons follow the coordinates.
Sites, in units of the cell vectors:
O: 0.5990 0.0990 0.1980  -0.01
O: 0.9010 0.4010 0.8020  -0.01
O: 0.2365 0.2365 0.4731  -0.05
O: 0.3704 0.8704 0.7409  -0.05
O: 0.1296 0.6296 0.2591  -0.05
O: 0.7635 0.7635 0.5269  -0.05
O: 0.0000 0.0000 0.0000  -0.02
V: 0.1286 0.1286 0.2572  0.60
V: 0.8714 0.8714 0.7428  0.60
Nd: 0.5000 0.5000 0.0000  0.01
Be: 0.2500 0.7500 0.5000  0.00